[1]
# TaCrBr2, relaxed, DFT PBE-GGA
# Calculated total energy (eV/atom): -6.113
# Calculated volume (Å³ per atom): 25.7
# Energy above the lowest structure with this stoichiometry (meV/atom): 36
# E_form (uncorrected) (eV/atom): 0.09
data_TaCrBr2
_space_group_name_H-M_alt 'P 1 m 1'
_space_group_IT_number 6
_cell_length_a 3.9594
_cell_length_b 3.3949
_cell_length_c 7.6357
_cell_angle_alpha 90.00
_cell_angle_beta 90.76
_cell_angle_gamma 90.00
loop_
_space_group_symop_operation_xyz
'x,y,z'
'x,-y,z'
loop_
_atom_site_label
_atom_site_fract_x
_atom_site_fract_y
_atom_site_fract_z
Ta1 0.0000 0.0000 0.0000
Cr1 0.4731 0.5000 0.0620
Br1 0.2079 0.5000 0.7530
Br2 0.7013 0.0000 0.3039

[2]
# ZrScRe2, relaxed, DFT PBE-GGA
# Calculated total energy (eV/atom): -9.712
# Calculated volume (Å³ per atom): 17.9
# Formation energy from the elements (eV per atom): 0.232
data_ZrScRe2
_space_group_name_H-M_alt 'R -3 m'
_space_group_IT_number 166
_space_group_name_Hall '-R 3 2"'
_cell_length_a 3.0923
_cell_length_b 3.0923
_cell_length_c 26.0025
_cell_angle_alpha 90.00
_cell_angle_beta 90.00
_cell_angle_gamma 120.00
loop_
_atom_site_label
_atom_site_fract_x
_atom_site_fract_y
_atom_site_fract_z
Zr1 0.0000 0.0000 0.0000
Sc1 0.0000 0.0000 0.5000
Re1 0.0000 0.0000 0.2510

[3]
# Be2Ni7B2, relaxed, DFT PBE-GGA
# Calculated total energy (eV/atom): -5.438
# Calculated volume (Å³ per atom): 10.6
# Formation energy from the elements (eV per atom): 0.133
data_Be2Ni7B2
_space_group_name_H-M_alt 'C m m m'
_space_group_IT_number 65
_space_group_name_Hall '-C 2 2'
_cell_length_a 6.5172
_cell_length_b 7.1723
_cell_length_c 5.0081
_cell_angle_alpha 90.00
_cell_angle_beta 90.00
_cell_angle_gamma 90.00
loop_
_atom_site_label
_atom_site_fract_x
_atom_site_fract_y
_atom_site_fract_z
Be1 0.0000 0.2178 0.0000
Ni1 0.0000 0.0000 0.2653
Ni2 0.0000 0.5000 0.0000
Ni3 0.2500 0.2500 0.2667
B1 0.2483 0.0000 0.5000

[4]
# Y3TmRu3, relaxed, DFT PBE-GGA
# Calculated total energy (eV/atom): -7.736
# Calculated volume (Å³ per atom): 21.8
# Formation energy from the elements (eV per atom): -0.352
data_Y3TmRu3
_space_group_name_H-M_alt 'R 3 m'
_space_group_IT_number 160
_space_group_name_Hall 'R 3 -2"'
_cell_length_a 9.4999
_cell_length_b 9.4999
_cell_length_c 5.8629
_cell_angle_alpha 90.00
_cell_angle_beta 90.00
_cell_angle_gamma 120.00
loop_
_atom_site_label
_atom_site_fract_x
_atom_site_fract_y
_atom_site_fract_z
Y1 0.0574 0.5287 0.0000
Tm1 0.0000 0.0000 0.8871
Ru1 0.0009 0.5005 0.4704

[5]
# CsKBiCl6, relaxed, DFT PBE-GGA
# Calculated total energy (eV/atom): -3.183
# Calculated volume (Å³ per atom): 42.0
# E_form (uncorrected) (eV/atom): -1.30
data_CsKBiCl6
_space_group_name_H-M_alt 'P 3 1 2'
_space_group_IT_number 149
_cell_length_a 7.7559
_cell_length_b 7.7559
_cell_length_c 7.2582
_cell_angle_alpha 90.00
_cell_angle_beta 90.00
_cell_angle_gamma 120.00
loop_
_space_group_symop_operation_xyz
'x,y,z'
'-y,x-y,z'
'-x+y,-x,z'
'-y,-x,-z'
'-x+y,y,-z'
'x,x-y,-z'
loop_
_atom_site_label
_atom_site_fract_x
_atom_site_fract_y
_atom_site_fract_z
Cs1 0.0000 0.0000 0.0000
K1 0.3333 0.6667 0.5000
Bi1 0.6667 0.3333 0.5000
Cl1 0.3937 0.0506 0.7101

[6]
# CsMgGe3, relaxed, DFT PBE-GGA
# Calculated total energy (eV/atom): -1.524
# Calculated volume (Å³ per atom): 37.8
# Energy above the lowest structure with this stoichiometry (meV/atom): 1214
# Formation energy from the elements (eV per atom): 1.736
data_CsMgGe3
_space_group_name_H-M_alt 'P m -3 m'
_space_group_IT_number 221
_space_group_name_Hall '-P 4 2 3'
_cell_length_a 5.7395
_cell_length_b 5.7395
_cell_length_c 5.7395
_cell_angle_alpha 90.00
_cell_angle_beta 90.00
_cell_angle_gamma 90.00
loop_
_atom_site_label
_atom_site_fract_x
_atom_site_fract_y
_atom_site_fract_z
Cs1 0.0000 0.0000 0.0000
Mg1 0.5000 0.5000 0.5000
Ge1 0.0000 0.0000 0.5000

[7]
# Sr2SiB, relaxed, DFT PBE-GGA
# Calculated total energy (eV/atom): -3.104
# Calculated volume (Å³ per atom): 28.6
# Energy above the lowest structure with this stoichiometry (meV/atom): 317
# E_form (uncorrected) (eV/atom): 0.76
data_Sr2SiB
_space_group_name_H-M_alt 'I -4 2 d'
_space_group_IT_number 122
_space_group_name_Hall 'I -4 2bw'
_cell_length_a 8.0561
_cell_length_b 8.0561
_cell_length_c 7.0384
_cell_angle_alpha 90.00
_cell_angle_beta 90.00
_cell_angle_gamma 90.00
loop_
_atom_site_label
_atom_site_fract_x
_atom_site_fract_y
_atom_site_fract_z
Sr1 0.2154 0.7500 0.1250
Si1 0.0000 0.0000 0.5000
B1 0.0000 0.0000 0.0000

[8]
# KSbS2, relaxed, DFT PBE-GGA
# Calculated total energy (eV/atom): -3.903
# Calculated volume (Å³ per atom): 36.9
# E_form (uncorrected) (eV/atom): -0.53
data_KSbS2
_space_group_name_H-M_alt 'I -4 2 d'
_space_group_IT_number 122
_space_group_name_Hall 'I -4 2bw'
_cell_length_a 6.8750
_cell_length_b 6.8750
_cell_length_c 12.4832
_cell_angle_alpha 90.00
_cell_angle_beta 90.00
_cell_angle_gamma 90.00
loop_
_atom_site_label
_atom_site_fract_x
_atom_site_fract_y
_atom_site_fract_z
K1 0.0000 0.0000 0.0000
Sb1 0.0000 0.0000 0.5000
S1 0.1796 0.2500 0.6250

[9]
# PuTiMoRh, relaxed, DFT PBE-GGA
# Calculated total energy (eV/atom): -10.329
# Calculated volume (Å³ per atom): 17.2
# Formation energy from the elements (eV per atom): -0.226
data_PuTiMoRh
_space_group_name_H-M_alt 'F -4 3 m'
_space_group_IT_number 216
_space_group_name_Hall 'F -4 2 3'
_cell_length_a 6.5102
_cell_length_b 6.5102
_cell_length_c 6.5102
_cell_angle_alpha 90.00
_cell_angle_beta 90.00
_cell_angle_gamma 90.00
loop_
_atom_site_label
_atom_site_fract_x
_atom_site_fract_y
_atom_site_fract_z
Pu1 0.0000 0.0000 0.0000
Ti1 0.0000 0.0000 0.5000
Mo1 0.2500 0.2500 0.7500
Rh1 0.2500 0.2500 0.2500

[10]
# Al2Zn3Ag6, relaxed, DFT PBE-GGA
# Calculated total energy (eV/atom): -2.424
# Calculated volume (Å³ per atom): 18.8
# Energy above the lowest structure with this stoichiometry (meV/atom): 179
# Formation energy from the elements (eV per atom): 0.159
data_Al2Zn3Ag6
_space_group_name_H-M_alt 'I 4/m m m'
_space_group_IT_number 139
_space_group_name_Hall '-I 4 2'
_cell_length_a 4.0288
_cell_length_b 4.0288
_cell_length_c 25.5143
_cell_angle_alpha 90.00
_cell_angle_beta 90.00
_cell_angle_gamma 90.00
loop_
_atom_site_label
_atom_site_fract_x
_atom_site_fract_y
_atom_site_fract_z
Al1 0.0000 0.0000 0.1493
Zn1 0.0000 0.0000 0.3524
Zn2 0.0000 0.0000 0.5000
Ag1 0.0000 0.0000 0.2503
Ag2 0.0000 0.5000 0.0709

[11]
# CaAcSiNi, relaxed, DFT PBE-GGA
# Calculated total energy (eV/atom): -4.534
# Calculated volume (Å³ per atom): 24.6
# Energy above the lowest structure with this stoichiometry (meV/atom): 257
# E_form (uncorrected) (eV/atom): -0.21
data_CaAcSiNi
_space_group_name_H-M_alt 'F -4 3 m'
_space_group_IT_number 216
_space_group_name_Hall 'F -4 2 3'
_cell_length_a 7.3304
_cell_length_b 7.3304
_cell_length_c 7.3304
_cell_angle_alpha 90.00
_cell_angle_beta 90.00
_cell_angle_gamma 90.00
loop_
_atom_site_label
_atom_site_fract_x
_atom_site_fract_y
_atom_site_fract_z
Ca1 0.0000 0.0000 0.0000
Ac1 0.0000 0.0000 0.5000
Si1 0.2500 0.2500 0.2500
Ni1 0.2500 0.2500 0.7500

[12]
# CaLa3, relaxed, DFT PBE-GGA
# Calculated total energy (eV/atom): -4.074
# Calculated volume (Å³ per atom): 38.6
# Formation energy from the elements (eV per atom): 0.122
data_CaLa3
_space_group_name_H-M_alt 'F m -3 m'
_space_group_IT_number 225
_space_group_name_Hall '-F 4 2 3'
_cell_length_a 8.5177
_cell_length_b 8.5177
_cell_length_c 8.5177
_cell_angle_alpha 90.00
_cell_angle_beta 90.00
_cell_angle_gamma 90.00
loop_
_atom_site_label
_atom_site_fract_x
_atom_site_fract_y
_atom_site_fract_z
Ca1 0.0000 0.0000 0.0000
La1 0.0000 0.0000 0.5000
La2 0.2500 0.2500 0.2500

What did the first record say?
# TaCrBr2, relaxed, DFT PBE-GGA
# Calculated total energy (eV/atom): -6.113
# Calculated volume (Å³ per atom): 25.7
# Energy above the lowest structure with this stoichiometry (meV/atom): 36
# E_form (uncorrected) (eV/atom): 0.09
data_TaCrBr2
_space_group_name_H-M_alt 'P 1 m 1'
_space_group_IT_number 6
_cell_length_a 3.9594
_cell_length_b 3.3949
_cell_length_c 7.6357
_cell_angle_alpha 90.00
_cell_angle_beta 90.76
_cell_angle_gamma 90.00
loop_
_space_group_symop_operation_xyz
'x,y,z'
'x,-y,z'
loop_
_atom_site_label
_atom_site_fract_x
_atom_site_fract_y
_atom_site_fract_z
Ta1 0.0000 0.0000 0.0000
Cr1 0.4731 0.5000 0.0620
Br1 0.2079 0.5000 0.7530
Br2 0.7013 0.0000 0.3039

Please write out number 4 again, unchanged.
# Y3TmRu3, relaxed, DFT PBE-GGA
# Calculated total energy (eV/atom): -7.736
# Calculated volume (Å³ per atom): 21.8
# Formation energy from the elements (eV per atom): -0.352
data_Y3TmRu3
_space_group_name_H-M_alt 'R 3 m'
_space_group_IT_number 160
_space_group_name_Hall 'R 3 -2"'
_cell_length_a 9.4999
_cell_length_b 9.4999
_cell_length_c 5.8629
_cell_angle_alpha 90.00
_cell_angle_beta 90.00
_cell_angle_gamma 120.00
loop_
_atom_site_label
_atom_site_fract_x
_atom_site_fract_y
_atom_site_fract_z
Y1 0.0574 0.5287 0.0000
Tm1 0.0000 0.0000 0.8871
Ru1 0.0009 0.5005 0.4704

Question: The lowest calculated volume belongs to which entry?
Answer: Be2Ni7B2